1.
Computed, not measured: an optimized crystal structure of ErMgZrAg at the PBE level of DFT.

Computed properties:
Calculated density = 7.1 g/cm3
DFT formation energy = 15 meV/atom
Total magnetic moment = 1.15 μB per cell
Total DFT energy (no corrections) = -4.3744 eV per atom

```
ErMgZrAg
1.0
5.060 0.000 0.000
2.530 4.382 0.000
2.530 1.461 4.131
Mg Er Ag Zr
1 1 1 1
Cartesian
7.590 4.382 3.099
5.060 2.921 2.066
2.530 1.461 1.033
0.000 0.000 0.000
```

=====

2.
Computed, not measured: an optimized crystal structure of Na2AcAu2 at the PBE level of DFT.

Computed properties:
Calculated density = 7.9 g/cm3
DFT formation energy = -378 meV/atom
Total magnetic moment = 0.00 μB per cell
Total DFT energy (no corrections) = -3.0383 eV per atom
Distance to the lowest polymorph of the same formula = 0.075 eV per atom

```
Na2AcAu2
1.0
-2.994 1.182 -2.357
1.727 -3.349 -3.873
-7.987 -8.637 5.813
Au Na Ac
4 4 2
Cartesian
-4.847 -8.192 0.360
-1.626 -1.773 -3.888
-7.627 -9.030 3.471
-4.406 -2.611 -0.777
-2.741 -0.422 -1.795
-6.512 -10.381 1.377
-4.248 -4.798 1.301
-5.006 -6.005 -1.718
-7.711 -6.586 1.427
-1.542 -4.217 -1.845
```

=====

3.
Computed, not measured: an optimized crystal structure of TaAgHgRh2 at the PBE level of DFT.

Computed properties:
Calculated density = 9.7 g/cm3
DFT formation energy = 940 meV/atom
Total magnetic moment = 0.00 μB per cell
Total DFT energy (no corrections) = -5.0022 eV per atom

```
TaAgHgRh2
1.0
-4.473 0.811 -1.232
-1.512 -0.529 5.141
0.653 4.616 0.667
Rh Hg Ag Ta
2 1 1 1
Cartesian
0.326 2.308 0.333
-2.236 0.405 -0.616
-0.756 -0.264 2.571
-2.666 2.449 2.288
0.000 0.000 0.000
```

=====

4.
Computed, not measured: an optimized crystal structure of YErScCd at the PBE level of DFT.

Computed properties:
Calculated density = 6.3 g/cm3
DFT formation energy = -134 meV/atom
Total magnetic moment = 0.00 μB per cell
Total DFT energy (no corrections) = -4.7027 eV per atom
Distance to the lowest polymorph of the same formula = 0.000 eV per atom

```
YErScCd
1.0
-3.296 1.219 -0.178
-0.851 -2.619 -2.190
-2.223 -5.011 6.858
Er Sc Cd Y
1 1 1 1
Cartesian
-2.806 -2.351 1.076
-0.165 -0.372 0.509
-1.263 -2.847 3.897
-3.880 -4.773 4.391
```

=====

5.
Computed, not measured: an optimized crystal structure of Y4As3Se at the PBE level of DFT.

Computed properties:
Calculated density = 5.6 g/cm3
Total magnetic moment = 0.00 μB per cell
Total DFT energy (no corrections) = -7.0733 eV per atom

```
Y4As3Se
1.0
5.319 0.005 -2.358
-1.050 5.214 -2.358
-0.023 -0.028 7.126
As Se Y
3 1 4
Cartesian
3.715 1.293 1.205
0.531 3.898 1.205
2.135 2.609 -2.358
0.000 0.000 0.000
2.659 0.002 -1.179
3.172 3.877 -0.015
-0.525 2.607 -1.179
1.074 1.313 2.426
```

=====

6.
Computed, not measured: an optimized crystal structure of TlSb2F8 at the PBE level of DFT.

Computed properties:
Calculated density = 5.2 g/cm3
Total magnetic moment = 0.00 μB per cell
Total DFT energy (no corrections) = -4.4966 eV per atom

```
TlSb2F8
1.0
5.068 0.030 0.023
0.184 6.411 0.516
0.184 2.223 6.035
F Tl Sb
8 1 2
Cartesian
3.145 4.308 5.883
2.292 4.356 0.692
3.145 6.825 2.565
1.490 4.278 3.246
3.946 4.387 3.328
0.684 2.225 1.688
2.292 1.839 4.009
4.752 6.439 4.886
0.000 0.000 0.000
2.484 2.855 2.166
2.952 5.810 4.408
```

=====

7.
Computed, not measured: an optimized crystal structure of CdPb2Se at the PBE level of DFT.

Computed properties:
Calculated density = 9.2 g/cm3
Total magnetic moment = 0.00 μB per cell
Total DFT energy (no corrections) = -3.0350 eV per atom
Distance to the lowest polymorph of the same formula = 0.078 eV per atom

```
CdPb2Se
1.0
-0.820 3.964 -3.568
-5.218 -0.888 1.051
0.131 2.540 2.791
Cd Pb Se
1 2 1
Cartesian
-2.544 0.826 1.921
-3.019 1.538 -1.258
0.000 0.000 0.000
-0.345 3.252 -0.388
```

=====

8.
Computed, not measured: an optimized crystal structure of AcSmPI at the PBE level of DFT.

Computed properties:
Calculated density = 7.1 g/cm3
Total magnetic moment = 0.00 μB per cell
Total DFT energy (no corrections) = -5.2751 eV per atom

```
AcSmPI
1.0
4.237 -0.001 0.000
-2.118 3.670 0.000
-2.117 -1.222 8.081
Ac P I Sm
1 1 1 1
Cartesian
0.401 -0.268 5.425
-1.717 0.955 7.200
2.518 0.955 2.793
-1.718 3.402 0.499
```

=====

9.
Computed, not measured: an optimized crystal structure of K2ScIn2 at the PBE level of DFT.

Computed properties:
Calculated density = 3.7 g/cm3
DFT formation energy = 258 meV/atom
Total magnetic moment = 0.00 μB per cell
Total DFT energy (no corrections) = -2.5431 eV per atom
Distance to the lowest polymorph of the same formula = 0.106 eV per atom

```
K2ScIn2
1.0
-1.491 3.111 -2.709
-2.918 1.241 3.031
3.315 7.538 3.280
K In Sc
2 2 1
Cartesian
-0.190 6.412 0.366
-0.903 5.477 3.236
-1.259 3.094 0.695
0.166 8.795 2.907
0.000 0.000 0.000
```

=====

10.
Computed, not measured: an optimized crystal structure of Ho2Zn3InCu12 at the PBE level of DFT.

Computed properties:
Calculated density = 8.3 g/cm3
DFT formation energy = 48 meV/atom
Total magnetic moment = 0.00 μB per cell
Total DFT energy (no corrections) = -3.5555 eV per atom

```
Ho2Zn3InCu12
1.0
-5.258 2.033 3.352
-3.691 0.996 -5.328
-2.840 -5.908 0.193
Cu Zn Ho In
12 3 2 1
Cartesian
-4.520 -2.599 -2.554
-7.963 0.699 -1.521
-6.562 -0.747 -3.144
-6.737 -3.327 -3.123
-4.257 -0.078 -3.063
-7.269 -0.280 0.770
-5.226 -2.132 1.360
-6.179 -3.860 -0.654
-7.532 -2.802 1.279
-5.610 0.981 -1.130
-5.051 0.448 1.339
-3.825 -3.578 -0.263
-2.629 1.016 1.676
-1.420 -2.954 0.096
-1.845 0.498 -2.664
-8.312 -2.030 -1.258
-3.477 -0.849 -0.526
0.000 0.000 0.000
```

=====

11.
Computed, not measured: an optimized crystal structure of Cs2NbHg at the PBE level of DFT.

Computed properties:
Calculated density = 5.5 g/cm3
DFT formation energy = 1062 meV/atom
Total magnetic moment = 5.03 μB per cell
Total DFT energy (no corrections) = -1.9576 eV per atom

```
Cs2NbHg
1.0
5.242 1.767 2.794
0.159 5.286 3.232
0.423 -0.159 6.181
Nb Cs Hg
1 2 1
Cartesian
0.000 0.000 0.000
1.456 1.724 3.052
4.368 5.171 9.155
2.912 3.447 6.103
```

=====

12.
Computed, not measured: an optimized crystal structure of Ca2InAu3 at the PBE level of DFT.

Computed properties:
Calculated density = 9.2 g/cm3
DFT formation energy = -641 meV/atom
Total magnetic moment = 0.00 μB per cell
Total DFT energy (no corrections) = -3.4033 eV per atom
Distance to the lowest polymorph of the same formula = 0.000 eV per atom

```
Ca2InAu3
1.0
-3.337 3.173 3.840
0.565 -5.527 2.255
8.243 3.519 0.975
Ca Au In
4 6 2
Cartesian
-2.102 -1.785 4.623
1.760 2.758 3.931
3.711 -1.592 3.139
-0.670 -0.569 1.473
0.736 -2.930 3.335
2.294 0.784 1.346
4.735 4.096 3.735
-1.192 1.367 4.118
6.663 -0.202 2.952
3.177 0.382 5.724
4.573 1.562 2.683
0.898 -0.397 4.387
```